Material: Pm2BeSbPt6
Method: DFT, PBE
State: optimized geometry

Results
Formation energy (no corrections) (eV per formula unit): -7.43

abc: 5.8561 7.4100 7.5317
angles: 46.14 65.94 89.23
Closest atoms and distances in Å follow each position.
Element x y z (fractional)
Pt 0.7623 0.2416 0.9309  1 Be 2.16
Pt 0.7311 0.7518 0.0514  1 Be 2.15
Pm 0.7812 0.2153 0.4607  6 Pt 3.02-3.08
Pt 0.2689 0.2482 0.9486  1 Be 2.15
Pt 0.7549 0.7365 0.4636  1 Be 2.15
Pt 0.2451 0.2635 0.5364  1 Be 2.15
Pt 0.2377 0.7584 0.0691  1 Be 2.16
Be 0.0000 0.0000 0.0000  6 Pt 2.15-2.16
Pm 0.2188 0.7847 0.5393  6 Pt 3.02-3.08
Sb 0.5000 0.5000 0.0000  6 Pt 2.64

---

Material: PmScBePt2
Method: DFT, PBE
State: optimized geometry

Results
ΔH_f (0 K) (meV/atom): -892

abc: 3.9813 3.9813 6.7515
angles: 107.15 107.15 90.00
Closest atoms and distances in Å follow each position.
Element x y z (fractional)
Pm 0.0000 0.0000 0.0000  8 Pt 3.14
Be 0.7500 0.2500 0.5000  4 Pt 2.60, 4 Sc 2.82
Pt 0.3864 0.3864 0.7727  2 Be 2.60, 2 Sc 2.60, 1 Pt 2.79
Pt 0.6136 0.6136 0.2273  2 Sc 2.60, 2 Be 2.60, 1 Pt 2.79
Sc 0.2500 0.7500 0.5000  4 Pt 2.60, 4 Be 2.82

---

Material: Pm2ScBe3Pt4
Method: DFT, PBE
State: optimized geometry

Results
ΔH_f (0 K) (meV/atom): -893

abc: 4.0494 4.0494 10.6435
angles: 90.00 90.00 90.00
Closest atoms and distances in Å follow each position.
Element x y z (fractional)
Sc 0.5000 0.5000 0.5000  4 Pt 2.64, 4 Be 2.86
Pm 0.0000 0.5000 0.7693  8 Pt 3.09-3.18, 4 Be 3.13
Be 0.0000 0.5000 0.1113  5 Pt 2.35-2.44
Be 0.5000 0.0000 0.8887  5 Pt 2.35-2.44
Pt 0.5000 0.0000 0.6592  3 Be 2.44-2.64, 2 Sc 2.64
Pt 0.0000 0.0000 0.0000  4 Be 2.35
Pt 0.0000 0.5000 0.3408  3 Be 2.44-2.64, 2 Sc 2.64
Pt 0.5000 0.5000 0.0000  4 Be 2.35
Be 0.0000 0.0000 0.5000  4 Pt 2.64, 4 Sc 2.86
Pm 0.5000 0.0000 0.2307  8 Pt 3.09-3.18, 4 Be 3.13

---

Material: PmScBePt
Method: DFT, PBE
State: optimized geometry

Results
ΔH_f (0 K) (meV/atom): -459

abc: 4.8402 4.8402 4.8402
angles: 60.00 60.00 60.00
Closest atoms and distances in Å follow each position.
Element x y z (fractional)
Pm 0.0000 0.0000 0.0000  4 Be 2.96, 4 Pt 2.96
Sc 0.5000 0.5000 0.5000  4 Be 2.96, 4 Pt 2.96
Be 0.2500 0.2500 0.2500  4 Pm 2.96, 4 Sc 2.96
Pt 0.7500 0.7500 0.7500  4 Sc 2.96, 4 Pm 2.96